Record 1
The following is a PBE calculation of an optimized crystal structure of Sr2CdPbBr, from Alexandria.

Summary:
- electronic total energy (eV per atom) = -2.287
- crystal system = tetragonal
- E_form (uncorrected) (eV/f.u.) = -1.78
- density (g cm⁻³) = 4.33

a b c (Å): 6.4495 6.4495 5.2958
angles (deg): 90.00 90.00 90.00
Fractional coordinates of all 5 atoms:
Sr (0.0000, 0.5000, 0.0000)
Sr (0.5000, 0.0000, 0.0000)
Cd (0.0000, 0.0000, 0.0000)
Pb (0.0000, 0.0000, 0.5000)
Br (0.5000, 0.5000, 0.5000)


Record 2
The following is a PBE calculation of an optimized crystal structure of SrCdPbBr6, from Alexandria.

Summary:
- electronic total energy (eV per atom) = -3.079
- crystal system = tetragonal
- E_form (uncorrected) (eV/f.u.) = -11.37
- density (g cm⁻³) = 4.46

a b c (Å): 6.9960 6.9960 13.4948
angles (deg): 90.00 90.00 90.00
Fractional coordinates of all 18 atoms:
Sr (0.0000, 0.0000, 0.0000)
Sr (0.5000, 0.5000, 0.5000)
Cd (0.0000, 0.0000, 0.6656)
Cd (0.5000, 0.5000, 0.1656)
Pb (0.0000, 0.0000, 0.3306)
Pb (0.5000, 0.5000, 0.8306)
Br (0.1889, 0.1889, 0.5100)
Br (0.1905, 0.1905, 0.8198)
Br (0.2099, 0.2099, 0.1660)
Br (0.2901, 0.7099, 0.6660)
Br (0.3095, 0.6905, 0.3198)
Br (0.3111, 0.6889, 0.0100)
Br (0.6889, 0.3111, 0.0100)
Br (0.6905, 0.3095, 0.3198)
Br (0.7099, 0.2901, 0.6660)
Br (0.7901, 0.7901, 0.1660)
Br (0.8095, 0.8095, 0.8198)
Br (0.8111, 0.8111, 0.5100)


Record 3
The following is a PBE calculation of an optimized crystal structure of SrCdPb2Br8, from Alexandria.

Summary:
- electronic total energy (eV per atom) = -3.121
- crystal system = monoclinic
- E_form (uncorrected) (eV/f.u.) = -14.06
- density (g cm⁻³) = 4.76

a b c (Å): 6.7938 8.9880 7.1582
angles (deg): 90.00 90.48 90.00
Fractional coordinates of all 12 atoms:
Sr (0.0000, 0.0000, 0.0000)
Cd (0.0000, 0.5000, 0.0000)
Pb (0.5000, 0.2603, 0.5000)
Pb (0.5000, 0.7397, 0.5000)
Br (0.2337, 0.2699, 0.1499)
Br (0.2337, 0.7301, 0.1499)
Br (0.2413, 0.5000, 0.6703)
Br (0.2608, 0.0000, 0.6534)
Br (0.7392, 0.0000, 0.3466)
Br (0.7587, 0.5000, 0.3297)
Br (0.7663, 0.2699, 0.8501)
Br (0.7663, 0.7301, 0.8501)


Record 4
The following is a PBE calculation of an optimized crystal structure of CdTePbBr2, from Alexandria.

Summary:
- electronic total energy (eV per atom) = -2.539
- crystal system = tetragonal
- E_form (uncorrected) (eV/f.u.) = -1.59
- density (g cm⁻³) = 5.96

a b c (Å): 5.3333 5.3333 5.9459
angles (deg): 90.00 90.00 90.00
Fractional coordinates of all 5 atoms:
Cd (0.0000, 0.0000, 0.0000)
Te (0.0000, 0.0000, 0.5000)
Pb (0.5000, 0.5000, 0.5000)
Br (0.0000, 0.5000, 0.0000)
Br (0.5000, 0.0000, 0.0000)


Record 5
The following is a PBE calculation of an optimized crystal structure of Tl2CdPbBr6, from Alexandria.

Summary:
- electronic total energy (eV per atom) = -2.797
- crystal system = trigonal
- E_form (uncorrected) (eV/f.u.) = -8.57
- density (g cm⁻³) = 5.49

a b c (Å): 8.0803 8.0803 8.0803
angles (deg): 59.11 59.11 59.11
Fractional coordinates of all 10 atoms:
Tl (0.0000, 0.0000, 0.0000)
Tl (0.4985, 0.4985, 0.4985)
Cd (0.7159, 0.7159, 0.7159)
Pb (0.2164, 0.2164, 0.2164)
Br (0.0409, 0.4580, 0.8649)
Br (0.3834, 0.9362, 0.5613)
Br (0.4580, 0.8649, 0.0409)
Br (0.5613, 0.3834, 0.9362)
Br (0.8649, 0.0409, 0.4580)
Br (0.9362, 0.5613, 0.3834)


Record 6
The following is a PBE calculation of an optimized crystal structure of TlCdPbBr5, from Alexandria.

Summary:
- electronic total energy (eV per atom) = -2.788
- crystal system = monoclinic
- E_form (uncorrected) (eV/f.u.) = -6.95
- density (g cm⁻³) = 4.85

a b c (Å): 8.1644 8.1644 10.8134
angles (deg): 104.06 104.06 106.27
Fractional coordinates of all 16 atoms:
Tl (0.1546, 0.8454, 0.7500)
Tl (0.8454, 0.1546, 0.2500)
Cd (0.1807, 0.8193, 0.2500)
Cd (0.8193, 0.1807, 0.7500)
Pb (0.5000, 0.5000, 0.0000)
Pb (0.5000, 0.5000, 0.5000)
Br (0.1164, 0.2342, 0.9465)
Br (0.1600, 0.5797, 0.3767)
Br (0.2342, 0.1164, 0.4465)
Br (0.4040, 0.5960, 0.7500)
Br (0.4203, 0.8400, 0.1233)
Br (0.5797, 0.1600, 0.8767)
Br (0.5960, 0.4040, 0.2500)
Br (0.7658, 0.8836, 0.5535)
Br (0.8400, 0.4203, 0.6233)
Br (0.8836, 0.7658, 0.0535)


Record 7
The following is a PBE calculation of an optimized crystal structure of CdPb2WBr, from Alexandria.

Summary:
- electronic total energy (eV per atom) = -3.994
- crystal system = tetragonal
- E_form (uncorrected) (eV/f.u.) = 2.99
- density (g cm⁻³) = 8.59

a b c (Å): 5.5372 5.5372 4.9868
angles (deg): 90.00 90.00 90.00
Fractional coordinates of all 5 atoms:
Cd (0.0000, 0.0000, 0.0000)
Pb (0.0000, 0.5000, 0.5000)
Pb (0.5000, 0.0000, 0.5000)
W (0.5000, 0.5000, 0.5000)
Br (0.5000, 0.5000, 0.0000)


Record 8
The following is a PBE calculation of an optimized crystal structure of CdPd2Br, from Alexandria.

Summary:
- electronic total energy (eV per atom) = -3.204
- crystal system = cubic
- energy relative to the lowest polymorph listed for this composition (meV per atom) = 0
- E_form (uncorrected) (eV/f.u.) = 0.16
- density (g cm⁻³) = 9.05

a b c (Å): 4.7195 4.7195 4.7195
angles (deg): 60.00 60.00 60.00
Fractional coordinates of all 4 atoms:
Cd (0.0000, 0.0000, 0.0000)
Pd (0.2500, 0.2500, 0.2500)
Pd (0.7500, 0.7500, 0.7500)
Br (0.5000, 0.5000, 0.5000)


Record 9
The following is a PBE calculation of an optimized crystal structure of CdPd2Br, from Alexandria.

Summary:
- electronic total energy (eV per atom) = -3.140
- crystal system = tetragonal
- energy relative to the lowest polymorph listed for this composition (meV per atom) = 64
- E_form (uncorrected) (eV/f.u.) = 0.41
- density (g cm⁻³) = 8.23

a b c (Å): 9.7051 9.7051 9.7051
angles (deg): 154.97 154.97 35.70
Fractional coordinates of all 8 atoms:
Cd (0.0000, 0.0000, 0.0000)
Cd (0.7500, 0.2500, 0.5000)
Pd (0.1332, 0.6250, 0.0082)
Pd (0.3750, 0.3832, 0.5082)
Pd (0.6168, 0.1250, 0.9918)
Pd (0.8750, 0.8668, 0.4918)
Br (0.2500, 0.7500, 0.5000)
Br (0.5000, 0.5000, 0.0000)


Record 10
The following is a PBE calculation of an optimized crystal structure of RbCd2PdBr, from Alexandria.

Summary:
- electronic total energy (eV per atom) = -2.340
- crystal system = tetragonal
- E_form (uncorrected) (eV/f.u.) = -2.04
- density (g cm⁻³) = 5.00

a b c (Å): 5.2583 5.2583 5.9603
angles (deg): 90.00 90.00 90.00
Fractional coordinates of all 5 atoms:
Rb (0.0000, 0.0000, 0.0000)
Cd (0.0000, 0.5000, 0.5000)
Cd (0.5000, 0.0000, 0.5000)
Pd (0.5000, 0.5000, 0.5000)
Br (0.5000, 0.5000, 0.0000)


Record 11
The following is a PBE calculation of an optimized crystal structure of Rb2CdPdBr6, from Alexandria.

Summary:
- electronic total energy (eV per atom) = -2.806
- crystal system = tetragonal
- E_form (uncorrected) (eV/f.u.) = -9.98
- density (g cm⁻³) = 4.50

a b c (Å): 7.6847 7.6847 7.6847
angles (deg): 120.02 120.02 89.96
Fractional coordinates of all 10 atoms:
Rb (0.2500, 0.7500, 0.5000)
Rb (0.7500, 0.2500, 0.5000)
Cd (0.0000, 0.0000, 0.0000)
Pd (0.5000, 0.5000, 0.0000)
Br (0.2569, 0.2569, 0.5137)
Br (0.2569, 0.7431, 0.0000)
Br (0.2585, 0.2585, 0.0000)
Br (0.7415, 0.7415, 0.0000)
Br (0.7431, 0.2569, 0.0000)
Br (0.7431, 0.7431, 0.4863)


Record 12
The following is a PBE calculation of an optimized crystal structure of Rb2CdPdBr6, from Alexandria.

Summary:
- electronic total energy (eV per atom) = -2.807
- crystal system = trigonal
- E_form (uncorrected) (eV/f.u.) = -9.99
- density (g cm⁻³) = 4.36

a b c (Å): 13.8418 13.8418 13.8418
angles (deg): 32.01 32.01 32.01
Fractional coordinates of all 20 atoms:
Rb (0.1205, 0.1205, 0.1205)
Rb (0.2979, 0.2979, 0.2979)
Rb (0.7021, 0.7021, 0.7021)
Rb (0.8795, 0.8795, 0.8795)
Cd (0.4153, 0.4153, 0.4153)
Cd (0.5847, 0.5847, 0.5847)
Pd (0.0000, 0.0000, 0.0000)
Pd (0.5000, 0.5000, 0.5000)
Br (0.1308, 0.6238, 0.6238)
Br (0.2026, 0.2026, 0.7117)
Br (0.2026, 0.7117, 0.2026)
Br (0.2883, 0.7974, 0.7974)
Br (0.3762, 0.3762, 0.8692)
Br (0.3762, 0.8692, 0.3762)
Br (0.6238, 0.1308, 0.6238)
Br (0.6238, 0.6238, 0.1308)
Br (0.7117, 0.2026, 0.2026)
Br (0.7974, 0.2883, 0.7974)
Br (0.7974, 0.7974, 0.2883)
Br (0.8692, 0.3762, 0.3762)